A geometry-optimized NbSeF3 structure, computed with PBE.

Summary:
Energy above the lowest structure with this stoichiometry   754 meV/atom

Cell lengths 4.2067, 4.2067, 4.2067 Å; angles 90.00, 90.00, 90.00 degrees
Last column: nearest neighbours and their distance in Å.
Element x y z (fractional)
Nb  0.0000  0.0000  0.0000  6 F 2.10
Se  0.5000  0.5000  0.5000  12 F 2.97
F  0.0000  0.0000  0.5000  2 Nb 2.10
F  0.0000  0.5000  0.0000  2 Nb 2.10
F  0.5000  0.0000  0.0000  2 Nb 2.10

A geometry-optimized NbSeF9 structure, computed with PBE.

Summary:
VASP energy   -229.26 eV for the cell shown

Cell lengths 9.1158, 9.1158, 9.1158 Å; angles 93.22, 93.22, 93.22 degrees
Last column: nearest neighbours and their distance in Å.
Element x y z (fractional)
Nb  0.0000  0.0000  0.0000  6 F 1.88-2.01
Nb  0.0602  0.6065  0.3911  6 F 1.88-2.01
Nb  0.3911  0.0602  0.6065  6 F 1.88-2.01
Nb  0.6065  0.3911  0.0602  6 F 1.88-2.01
Se  0.1477  0.4537  0.9453  3 F 1.74
Se  0.4537  0.9453  0.1477  3 F 1.74
Se  0.5121  0.5121  0.5121  3 F 1.74
Se  0.9453  0.1477  0.4537  3 F 1.74
F  0.0120  0.3924  0.4175  1 Nb 2.01
F  0.0302  0.6468  0.5919  1 Nb 1.88
F  0.0451  0.9484  0.8052  1 Nb 1.88
F  0.0683  0.2095  0.9737  1 Nb 2.01
F  0.1034  0.5390  0.1861  1 Nb 2.00
F  0.1257  0.8006  0.3547  1 Nb 1.89
F  0.1861  0.1034  0.5390  1 Nb 2.00
F  0.1870  0.3942  0.7680  1 Se 1.74
F  0.2091  0.6337  0.9197  1 Se 1.74
F  0.2095  0.9737  0.0683  1 Nb 2.01
F  0.2683  0.5607  0.4437  1 Nb 2.00
F  0.3290  0.8628  0.6312  1 Nb 1.89
F  0.3547  0.1257  0.8006  1 Nb 1.89
F  0.3924  0.4175  0.0120  1 Nb 2.01
F  0.3942  0.7680  0.1870  1 Se 1.74
F  0.4175  0.0120  0.3924  1 Nb 2.01
F  0.4437  0.2683  0.5607  1 Nb 2.00
F  0.4730  0.5633  0.6915  1 Se 1.74
F  0.4847  0.8920  0.9668  1 Se 1.74
F  0.5390  0.1861  0.1034  1 Nb 2.00
F  0.5607  0.4437  0.2683  1 Nb 2.00
F  0.5633  0.6915  0.4730  1 Se 1.74
F  0.5919  0.0302  0.6468  1 Nb 1.88
F  0.6312  0.3290  0.8628  1 Nb 1.89
F  0.6337  0.9197  0.2091  1 Se 1.74
F  0.6468  0.5919  0.0302  1 Nb 1.88
F  0.6915  0.4730  0.5633  1 Se 1.74
F  0.7680  0.1870  0.3942  1 Se 1.74
F  0.8006  0.3547  0.1257  1 Nb 1.89
F  0.8052  0.0451  0.9484  1 Nb 1.88
F  0.8628  0.6312  0.3290  1 Nb 1.89
F  0.8920  0.9668  0.4847  1 Se 1.74
F  0.9197  0.2091  0.6337  1 Se 1.74
F  0.9484  0.8052  0.0451  1 Nb 1.88
F  0.9668  0.4847  0.8920  1 Se 1.74
F  0.9737  0.0683  0.2095  1 Nb 2.01

A geometry-optimized NbSeF3 structure, computed with PBE.

Summary:
Energy above the lowest structure with this stoichiometry   2111 meV/atom

Cell lengths 4.4629, 4.4629, 4.4629 Å; angles 90.00, 90.00, 90.00 degrees
Last column: nearest neighbours and their distance in Å.
Element x y z (fractional)
Nb  0.0000  0.0000  0.0000  12 F 3.16
Se  0.5000  0.5000  0.5000  6 F 2.23
F  0.0000  0.5000  0.5000  2 Se 2.23
F  0.5000  0.0000  0.5000  2 Se 2.23
F  0.5000  0.5000  0.0000  2 Se 2.23

Spin magnetization for the records above, in order: 0.000, 0.000, 3.585 Bohr magnetons per cell